Compound: LaTl5S5
Source: Alexandria
Functional: PBE-GGA
Structure: relaxed

Output
As for the space group: C2/m, No. 12. The formation energy (no corrections) comes out at -642 meV per atom.

Cell and atoms, written as POSCAR:
```
LaTl5S5
1.0
6.921 -2.896 0.000
6.921 2.896 0.000
-2.732 0.000 8.405
La Tl S
1 5 5
Direct
0.000 0.000 0.000
0.000 0.000 0.500
0.321 0.321 0.149
0.325 0.325 0.680
0.675 0.675 0.320
0.679 0.679 0.851
0.156 0.156 0.311
0.161 0.161 0.843
0.500 0.500 0.000
0.839 0.839 0.157
0.844 0.844 0.689
```

=====

Compound: Na2Ta3S6
Source: Alexandria
Functional: PBE-GGA
Structure: relaxed

Output
As for the space group: R32, No. 155. The formation energy (no corrections) comes out at -1206 meV per atom.

Cell and atoms, written as POSCAR:
```
Na2Ta3S6
1.0
2.931 1.692 14.517
-2.931 1.692 14.517
0.000 -3.384 14.517
Na Ta S
4 6 12
Direct
0.083 0.083 0.083
0.416 0.416 0.416
0.584 0.584 0.584
0.917 0.917 0.917
0.000 0.334 0.666
0.167 0.167 0.167
0.334 0.666 0.000
0.500 0.500 0.500
0.666 0.000 0.334
0.833 0.833 0.833
0.035 0.702 0.370
0.130 0.798 0.466
0.202 0.870 0.534
0.298 0.965 0.630
0.370 0.035 0.702
0.466 0.130 0.798
0.534 0.202 0.870
0.630 0.298 0.965
0.702 0.370 0.035
0.798 0.466 0.130
0.870 0.534 0.202
0.965 0.630 0.298
```

=====

Compound: Sc2GeHIr
Source: Alexandria
Functional: PBE-GGA
Structure: relaxed

Output
As for the space group: P4/mmm, No. 123. As for the final energy: -6.59 eV per atom.

Cell and atoms, written as POSCAR:
```
Sc2GeHIr
1.0
4.434 0.000 0.000
0.000 4.434 0.000
0.000 0.000 3.744
Sc Ge H Ir
2 1 1 1
Direct
0.000 0.500 0.000
0.500 0.000 0.000
0.000 0.000 0.500
0.500 0.500 0.000
0.500 0.500 0.500
```

=====

Compound: Pu2Tl3I8
Source: Alexandria
Functional: PBE-GGA
Structure: relaxed

Output
As for the space group: C2/m, No. 12. The formation energy (no corrections) comes out at -876 meV per atom.

Cell and atoms, written as POSCAR:
```
Pu2Tl3I8
1.0
8.579 -4.694 0.000
8.579 4.694 0.000
-2.293 0.000 7.686
Pu Tl I
2 3 8
Direct
0.249 0.249 0.496
0.751 0.751 0.504
0.242 0.758 0.500
0.500 0.500 0.000
0.758 0.242 0.500
0.108 0.598 0.734
0.137 0.137 0.738
0.365 0.365 0.255
0.402 0.892 0.266
0.598 0.108 0.734
0.635 0.635 0.745
0.863 0.863 0.262
0.892 0.402 0.266
```

=====

Compound: ZrSn3W
Source: Alexandria
Functional: PBE-GGA
Structure: relaxed

Output
The calculation puts the excess energy over the best structure of this formula in the dataset at 0 meV per atom. The value obtained for the energy relative to the elements is 885 meV/atom. As for the space group: Pm-3m, No. 221.

Cell and atoms, written as POSCAR:
```
ZrSn3W
1.0
5.223 0.000 0.000
0.000 5.223 0.000
0.000 0.000 5.223
Zr Sn W
1 3 1
Direct
0.000 0.000 0.000
0.000 0.500 0.500
0.500 0.000 0.500
0.500 0.500 0.000
0.500 0.500 0.500
```

=====

Compound: KCoCl
Source: Alexandria
Functional: PBE-GGA
Structure: relaxed

Output
The calculation puts the excess energy over the best structure of this formula in the dataset at 493 meV per atom. As for the space group: F-43m, No. 216. The formation energy (no corrections) comes out at 467 meV per atom.

Cell and atoms, written as POSCAR:
```
KCoCl
1.0
0.000 3.729 3.729
3.729 0.000 3.729
3.729 3.729 0.000
K Co Cl
1 1 1
Direct
0.000 0.000 0.000
0.750 0.750 0.750
0.250 0.250 0.250
```

=====

Compound: PaH4Br5
Source: Alexandria
Functional: PBE-GGA
Structure: relaxed

Output
As for the space group: P1, No. 1. As for the final energy: -3.78 eV per atom.

Cell and atoms, written as POSCAR:
```
PaH4Br5
1.0
5.418 0.000 0.000
1.388 7.076 0.000
2.637 1.271 8.027
Pa H Br
1 4 5
Direct
0.000 0.000 0.000
0.104 0.601 0.030
0.142 0.628 0.936
0.252 0.183 0.929
0.908 0.465 0.325
0.220 0.933 0.687
0.524 0.842 0.053
0.754 0.324 0.877
0.893 0.150 0.285
0.918 0.650 0.365
```

=====

Compound: Hg2WAu
Source: Alexandria
Functional: PBE-GGA
Structure: relaxed

Output
The calculation puts the excess energy over the best structure of this formula in the dataset at 465 meV per atom. The value obtained for the energy relative to the elements is 950 meV/atom. As for the space group: I-42d, No. 122.

Cell and atoms, written as POSCAR:
```
Hg2WAu
1.0
-2.035 2.035 10.158
2.035 -2.035 10.158
2.035 2.035 -10.158
Hg W Au
4 2 2
Direct
0.119 0.625 0.994
0.375 0.369 0.494
0.631 0.125 0.006
0.875 0.881 0.506
0.000 0.000 0.000
0.750 0.250 0.500
0.250 0.750 0.500
0.500 0.500 0.000
```

=====

Compound: PmSm2I
Source: Alexandria
Functional: PBE-GGA
Structure: relaxed

Output
The calculation puts the excess energy over the best structure of this formula in the dataset at 0 meV per atom. As for the space group: R-3m, No. 166. The formation energy (no corrections) comes out at -389 meV per atom.

Cell and atoms, written as POSCAR:
```
PmSm2I
1.0
1.899 1.097 10.709
-1.899 1.097 10.709
0.000 -2.193 10.709
Pm Sm I
1 2 1
Direct
0.000 0.000 0.000
0.245 0.245 0.245
0.755 0.755 0.755
0.500 0.500 0.500
```

=====

Compound: LaDyCd
Source: Alexandria
Functional: PBE-GGA
Structure: relaxed

Output
The calculation puts the excess energy over the best structure of this formula in the dataset at 276 meV per atom. The value obtained for the energy relative to the elements is 81 meV/atom. As for the space group: F-43m, No. 216.

Cell and atoms, written as POSCAR:
```
LaDyCd
1.0
0.000 3.734 3.734
3.734 0.000 3.734
3.734 3.734 0.000
La Dy Cd
1 1 1
Direct
0.000 0.000 0.000
0.500 0.500 0.500
0.250 0.250 0.250
```

=====

Compound: Y3TeCl
Source: Alexandria
Functional: PBE-GGA
Structure: relaxed

Output
The calculation puts the excess energy over the best structure of this formula in the dataset at 0 meV per atom. As for the space group: Pm-3m, No. 221. The formation energy (no corrections) comes out at -512 meV per atom.

Cell and atoms, written as POSCAR:
```
Y3TeCl
1.0
5.152 0.000 0.000
0.000 5.152 0.000
0.000 0.000 5.152
Y Te Cl
3 1 1
Direct
0.000 0.000 0.500
0.000 0.500 0.000
0.500 0.000 0.000
0.500 0.500 0.500
0.000 0.000 0.000
```

=====

Compound: NiHg2Te
Source: Alexandria
Functional: PBE-GGA
Structure: relaxed

Output
As for the space group: F-43m, No. 216. The formation energy (no corrections) comes out at 426 meV per atom.

Cell and atoms, written as POSCAR:
```
NiHg2Te
1.0
0.000 3.522 3.522
3.522 0.000 3.522
3.522 3.522 0.000
Ni Hg Te
1 2 1
Direct
0.000 0.000 0.000
0.250 0.250 0.250
0.500 0.500 0.500
0.750 0.750 0.750
```